First-principles (PBE) data for crystalline LuMgAlPt at its relaxed geometry, as listed in Alexandria.

Summary:
Its crystal system is cubic. The value obtained for the formation enthalpy at 0 K is -682 meV per atom. Its total magnetization is 0.00 μB/f.u.

```
LuMgAlPt
1.0
0.000 3.355 3.355
3.355 0.000 3.355
3.355 3.355 0.000
Lu Mg Al Pt
1 1 1 1
direct
0.000 0.000 0.000
0.500 0.500 0.500
0.750 0.750 0.750
0.250 0.250 0.250
```